(1)
## LaTcI3 (PBE)

Data for a geometry-optimized LaTcI3 structure.

abc: 5.369 5.369 5.369
angles: 90.00 90.00 90.00
Element x y z (fractional)
I 0.000 0.500 0.000
I 0.000 0.000 0.500
I 0.500 0.000 0.000
Tc 0.000 0.000 0.000
La 0.500 0.500 0.500

Properties
Crystal system = cubic
SG = No. 221
Uncorrected formation energy = 0.001 eV per atom
Electronic total energy = -3.988 eV per atom
Calculated volume = 154.8 Å³/f.u.

(2)
## YSbBr2 (PBE)

Data for a geometry-optimized YSbBr2 structure.

abc: 5.273 5.273 5.273
angles: 60.00 60.00 60.00
Element x y z (fractional)
Y 0.000 0.000 0.000
Sb 0.500 0.500 0.500
Br 0.250 0.250 0.250
Br 0.750 0.750 0.750

Properties
Crystal system = cubic
SG = No. 225
Uncorrected formation energy = -0.521 eV per atom
Electronic total energy = -4.004 eV per atom
Calculated volume = 103.7 Å³/f.u.

(3)
## Pa2Rh2Se7 (PBE)

Data for a geometry-optimized Pa2Rh2Se7 structure.

abc: 9.007 9.007 9.007
angles: 60.00 60.00 60.00
Element x y z (fractional)
Pa 0.625 0.625 0.625
Pa 0.625 0.625 0.125
Pa 0.625 0.125 0.625
Pa 0.125 0.625 0.625
Rh 0.625 0.125 0.125
Rh 0.125 0.625 0.125
Rh 0.125 0.125 0.625
Rh 0.125 0.125 0.125
Se 0.217 0.217 0.783
Se 0.217 0.783 0.217
Se 0.467 0.033 0.467
Se 0.467 0.467 0.033
Se 0.750 0.750 0.750
Se 0.783 0.217 0.217
Se 0.467 0.033 0.033
Se 0.033 0.467 0.467
Se 0.033 0.033 0.467
Se 0.033 0.467 0.033
Se 0.217 0.783 0.783
Se 0.500 0.500 0.500
Se 0.783 0.217 0.783
Se 0.783 0.783 0.217

Properties
Crystal system = cubic
SG = No. 227
Uncorrected formation energy = -0.863 eV per atom
Electronic total energy = -6.144 eV per atom
Calculated volume = 258.3 Å³/f.u.

(4)
## PmDyAu2 (PBE)

Data for a geometry-optimized PmDyAu2 structure.

abc: 5.161 5.161 5.161
angles: 60.00 60.00 60.00
Element x y z (fractional)
Pm 0.500 0.500 0.500
Au 0.250 0.250 0.250
Au 0.750 0.750 0.750
Dy 0.000 0.000 0.000

Properties
Crystal system = cubic
SG = No. 225
Electronic total energy = -4.790 eV per atom
Calculated volume = 97.2 Å³/f.u.
Energy relative to the elements = -813 meV per atom

(5)
## Mn2C (PBE)

Data for a geometry-optimized Mn2C structure.

abc: 6.369 6.369 3.295
angles: 90.00 90.00 149.61
Element x y z (fractional)
Mn 0.408 0.592 0.750
Mn 0.592 0.408 0.250
Mn 0.750 0.250 0.750
Mn 0.250 0.750 0.250
C 0.160 0.840 0.750
C 0.840 0.160 0.250

Properties
Crystal system = orthorhombic
SG = No. 63
Electronic total energy = -8.636 eV per atom
Calculated volume = 33.8 Å³/f.u.
Energy relative to the elements = 551 meV per atom

(6)
## Li3Tb4USe8 (PBE)

Data for a geometry-optimized Li3Tb4USe8 structure.

abc: 8.129 8.095 8.130
angles: 120.13 120.00 90.00
Element x y z (fractional)
Li 0.500 0.500 0.000
Li 0.500 0.500 0.500
Li 0.000 0.500 0.500
Tb 0.500 0.000 0.000
Tb 0.500 0.000 0.500
Tb 0.000 0.000 0.000
Tb 0.000 0.000 0.500
U 0.000 0.500 0.000
Se 0.250 0.743 0.992
Se 0.250 0.743 0.501
Se 0.252 0.256 0.504
Se 0.742 0.743 0.992
Se 0.258 0.257 0.008
Se 0.748 0.744 0.496
Se 0.750 0.257 0.499
Se 0.750 0.257 0.008

Properties
Crystal system = trigonal
SG = No. 166
Uncorrected formation energy = -1.600 eV per atom
Electronic total energy = -5.564 eV per atom
Calculated volume = 377.6 Å³/f.u.

We obtain total magnetization values of 0.28, 0.00, 2.93, 0.00, 4.33, 3.06 μB/cell for the records listed above, in that order.